# 1
An optimized crystal structure of ScNiSnW. Source: OQMD, functional PBE.

a b c (Å): 4.6150 4.6150 4.6150
angles (deg): 60.00 60.00 60.00
With the nearest neighbours (Å) after each atom.
Element x y z (fractional)
Sc1 0.0000 0.0000 0.0000  4 W 2.83, 4 Sn 2.83
Ni1 0.5000 0.5000 0.5000  4 W 2.83, 4 Sn 2.83
Sn1 0.2500 0.2500 0.2500  4 Ni 2.83, 4 Sc 2.83
W1 0.7500 0.7500 0.7500  4 Ni 2.83, 4 Sc 2.83

- uncorrected energy (eV per atom) = -6.81

=====

# 2
An optimized crystal structure of HfTcPb2. Source: OQMD, functional PBE.

a b c (Å): 4.9887 4.9887 4.9887
angles (deg): 60.00 60.00 60.00
With the nearest neighbours (Å) after each atom.
Element x y z (fractional)
Hf1 0.0000 0.0000 0.0000  4 Tc 3.05, 4 Pb 3.05
Tc1 0.7500 0.7500 0.7500  4 Pb 3.05, 4 Hf 3.05
Pb1 0.2500 0.2500 0.2500  4 Pb 3.05, 4 Hf 3.05
Pb2 0.5000 0.5000 0.5000  4 Pb 3.05, 4 Tc 3.05

- uncorrected energy (eV per atom) = -6.45

=====

# 3
An optimized crystal structure of HoHgNO. Source: OQMD, functional PBE.

a b c (Å): 3.8342 6.5099 6.1904
angles (deg): 90.00 90.00 90.00
With the nearest neighbours (Å) after each atom.
Element x y z (fractional)
Ho1 0.0000 0.1415 0.0000  2 O 2.09-2.12, 2 N 2.28
Ho2 0.0000 0.8585 0.5000  2 O 2.09-2.12, 2 N 2.28
Hg1 0.5000 0.4446 0.5863  2 N 2.07-2.12
Hg2 0.5000 0.5554 0.0863  2 N 2.07-2.12
N1 0.5000 0.2946 0.8817  2 Hg 2.07-2.12, 2 Ho 2.28
N2 0.5000 0.7054 0.3817  2 Hg 2.07-2.12, 2 Ho 2.28
O1 0.0000 0.1417 0.3423  2 Ho 2.09-2.12
O2 0.0000 0.8583 0.8423  2 Ho 2.09-2.12

- polymorph energy (0 for the lowest one) (kJ/mol of formula units) = 0.0

=====

Repeat the first record exactly.
An optimized crystal structure of ScNiSnW. Source: OQMD, functional PBE.

a b c (Å): 4.6150 4.6150 4.6150
angles (deg): 60.00 60.00 60.00
With the nearest neighbours (Å) after each atom.
Element x y z (fractional)
Sc1 0.0000 0.0000 0.0000  4 W 2.83, 4 Sn 2.83
Ni1 0.5000 0.5000 0.5000  4 W 2.83, 4 Sn 2.83
Sn1 0.2500 0.2500 0.2500  4 Ni 2.83, 4 Sc 2.83
W1 0.7500 0.7500 0.7500  4 Ni 2.83, 4 Sc 2.83

- uncorrected energy (eV per atom) = -6.81